This record from the Alexandria database describes a crystal of Hf2Be2Ni relaxed with PBEsol. The functional is SCAN.

Geometry as POSCAR:
```
Hf2Be2Ni
1.0
3.6366 0.0000 0.0000
0.0000 6.1469 0.0000
0.0000 0.0000 6.1469
Be Hf Ni
4 4 2
direct
0.0000 0.3755 0.8755
0.0000 0.8755 0.6245
0.0000 0.1245 0.3755
0.0000 0.6245 0.1245
0.5000 0.3256 0.1744
0.5000 0.6744 0.8256
0.5000 0.8256 0.3256
0.5000 0.1744 0.6744
0.0000 0.0000 0.0000
0.0000 0.5000 0.5000
```

Values from the calculation:
V	13.7	A^3/atom
space group	P4/mbm
calculated total energy	-30.308	eV per atom
DOS(E_F)	6.60	states/eV per cell
theoretical density	10.48	Mg/m³
E_form	-0.26	eV/atom



This record from the Alexandria database describes a crystal of Hf2BeNiSb relaxed with PBEsol. The functional is SCAN.

Geometry as POSCAR:
```
Hf2BeNiSb
1.0
4.5627 0.0000 0.0000
0.0000 4.7216 0.0000
0.0000 0.0000 4.7216
Hf Be Sb Ni
2 1 1 1
direct
0.0000 0.5000 0.0000
0.0000 0.0000 0.5000
0.5000 0.5000 0.5000
0.5000 0.0000 0.0000
0.0000 0.0000 0.0000
```

Values from the calculation:
formation energy from raw total energies	0.445	eV/atom
V	20.3	A^3/atom
space group	P4/mmm
calculated total energy	-36.182	eV per atom
DOS(E_F)	2.16	states/eV per cell
theoretical density	8.92	Mg/m³



This record from the Alexandria database describes a crystal of Hf2BePO relaxed with PBEsol. The functional is SCAN.

Geometry as POSCAR:
```
Hf2BePO
1.0
3.2845 0.0000 0.0000
0.0000 4.4382 0.0000
0.0000 0.0000 4.4382
P Be Hf O
1 1 2 1
direct
0.5000 0.5000 0.5000
0.5000 0.0000 0.0000
0.0000 0.0000 0.5000
0.0000 0.5000 0.0000
0.0000 0.0000 0.0000
```

Values from the calculation:
formation energy from raw total energies	-1.144	eV/atom
V	12.9	A^3/atom
space group	P4/mmm
calculated total energy	-30.410	eV per atom
DOS(E_F)	2.65	states/eV per cell
theoretical density	10.60	Mg/m³